Record 1
Entry from Alexandria via LeMat-Bulk: an optimized crystal structure of Tl6BrCl3F2 (PBE-GGA).

Its space group is C2/m (12). The value obtained for the spin magnetization is 0.0 μB per formula unit. For the raw formation energy, the calculation gives -1.20 eV/atom. For the electronic total energy, the calculation gives -3.296 eV/atom. The crystal system is monoclinic.

abc: 4.4237 9.5014 9.9689
angles: 108.54 102.82 90.00
Fractional coordinates of all 12 atoms:
1 Tl 0.3262 0.9016 0.6524
2 Tl 0.6865 0.5827 0.3730
3 Tl 0.6738 0.0984 0.3476
4 Tl 0.0202 0.2805 0.0405
5 Tl 0.9798 0.7195 0.9595
6 Tl 0.3135 0.4173 0.6270
7 Br 0.5000 0.0000 0.0000
8 Cl 0.5000 0.5000 0.0000
9 Cl 0.8416 0.1224 0.6833
10 Cl 0.1584 0.8776 0.3167
11 F 0.8242 0.5788 0.6483
12 F 0.1758 0.4212 0.3517

***

Record 2
Entry from Alexandria via LeMat-Bulk: an optimized crystal structure of Tl6Br3Cl2F (PBE-GGA).

Its space group is C2/m (12). The value obtained for the spin magnetization is 0.0 μB per formula unit. For the raw formation energy, the calculation gives -1.03 eV/atom. For the electronic total energy, the calculation gives -3.100 eV/atom. The crystal system is monoclinic.

abc: 4.6198 9.2054 10.2615
angles: 103.30 103.01 90.00
Fractional coordinates of all 12 atoms:
1 Tl 0.3542 0.9268 0.7085
2 Tl 0.6710 0.5775 0.3421
3 Tl 0.6458 0.0732 0.2915
4 Tl 0.9990 0.2211 0.9979
5 Tl 0.0010 0.7789 0.0021
6 Tl 0.3290 0.4225 0.6579
7 Br 0.5000 0.5000 0.0000
8 Br 0.8265 0.1673 0.6531
9 Br 0.1735 0.8327 0.3469
10 Cl 0.8400 0.6773 0.6799
11 Cl 0.1600 0.3227 0.3201
12 F 0.5000 0.0000 0.0000

***

Record 3
Entry from Alexandria via LeMat-Bulk: an optimized crystal structure of Tl4BrCl2F (PBE-GGA).

Its space group is C2/c (15). The value obtained for the spin magnetization is 0.0 μB per formula unit. For the raw formation energy, the calculation gives -1.12 eV/atom. For the electronic total energy, the calculation gives -3.209 eV/atom. The crystal system is monoclinic.

abc: 9.1382 9.1382 9.0624
angles: 119.79 119.79 90.39
Fractional coordinates of all 16 atoms:
1 Tl 0.2081 0.8065 0.0073
2 Tl 0.6935 0.2919 0.4927
3 Tl 0.3065 0.7081 0.5073
4 Tl 0.7919 0.1935 0.9927
5 Tl 0.7439 0.7517 0.0069
6 Tl 0.7483 0.7561 0.4931
7 Tl 0.2517 0.2439 0.5069
8 Tl 0.2561 0.2483 0.9931
9 Br 0.0000 0.5000 0.0000
10 Br 0.0000 0.5000 0.5000
11 Cl 0.5000 0.0000 0.0000
12 Cl 0.5000 0.0000 0.5000
13 Cl 0.0000 0.0000 0.5000
14 Cl 0.5000 0.5000 0.0000
15 F 0.5000 0.5000 0.5000
16 F 0.0000 0.0000 0.0000

***

Record 4
Entry from Alexandria via LeMat-Bulk: an optimized crystal structure of Tl6Br3ClF2 (PBE-GGA).

Its space group is C2/m (12). The value obtained for the spin magnetization is 0.0 μB per formula unit. For the raw formation energy, the calculation gives -1.15 eV/atom. For the electronic total energy, the calculation gives -3.216 eV/atom. The crystal system is monoclinic.

abc: 7.9619 7.9619 7.8987
angles: 99.41 99.41 123.15
Fractional coordinates of all 12 atoms:
1 Tl 0.9157 0.5600 0.7922
2 Tl 0.7317 0.7317 0.2326
3 Tl 0.0843 0.4400 0.2078
4 Tl 0.5600 0.9157 0.7922
5 Tl 0.2683 0.2683 0.7674
6 Tl 0.4400 0.0843 0.2078
7 Br 0.1527 0.8473 0.5000
8 Br 0.8473 0.1527 0.5000
9 Br 0.5000 0.5000 0.5000
10 Cl 0.0000 0.0000 0.0000
11 F 0.2974 0.7026 0.0000
12 F 0.7026 0.2974 0.0000

***

Record 5
Entry from Alexandria via LeMat-Bulk: an optimized crystal structure of Tl4BrClF2 (PBE-GGA).

Its space group is C2/c (15). The value obtained for the spin magnetization is 0.0 μB per formula unit. For the raw formation energy, the calculation gives -1.31 eV/atom. For the electronic total energy, the calculation gives -3.397 eV/atom. The crystal system is monoclinic.

abc: 8.6744 8.6745 8.6540
angles: 119.95 119.95 89.99
Fractional coordinates of all 16 atoms:
1 Tl 0.2985 0.7698 0.0347
2 Tl 0.7302 0.2015 0.4653
3 Tl 0.2698 0.7985 0.5347
4 Tl 0.7015 0.2302 0.9653
5 Tl 0.7346 0.7675 0.0274
6 Tl 0.7325 0.7654 0.4727
7 Tl 0.2675 0.2346 0.5274
8 Tl 0.2654 0.2325 0.9726
9 Br 0.0000 0.5000 0.0000
10 Br 0.0000 0.5000 0.5000
11 Cl 0.5000 0.5000 0.5000
12 Cl 0.0000 0.0000 0.0000
13 F 0.5000 0.0000 0.0000
14 F 0.5000 0.0000 0.5000
15 F 0.0000 0.0000 0.5000
16 F 0.5000 0.5000 0.0000